{"formula": "Th6Au3C", "functional": "PBE-GGA", "state": "optimized geometry", "dft_energy_ry_per_atom": -0.497, "lattice": [[6.559, 0.000, 0.000], [0.000, 8.002, 0.000], [-6.183, 0.000, 10.355]], "species": ["Th", "Th", "Th", "Th", "Th", "Th", "Th", "Th", "Th", "Th", "Th", "Th", "Au", "Au", "Au", "Au", "Au", "Au", "C", "C"], "frac_coords": [[0.073, 0.046, 0.228], [0.073, 0.454, 0.728], [0.191, 0.715, 0.065], [0.191, 0.785, 0.565], [0.392, 0.150, 0.058], [0.392, 0.350, 0.558], [0.608, 0.650, 0.442], [0.608, 0.850, 0.942], [0.809, 0.215, 0.435], [0.809, 0.285, 0.935], [0.927, 0.546, 0.272], [0.927, 0.954, 0.772], [0.316, 0.118, 0.736], [0.316, 0.382, 0.236], [0.500, 0.000, 0.500], [0.500, 0.500, 0.000], [0.684, 0.618, 0.764], [0.684, 0.882, 0.264], [0.000, 0.000, 0.000], [0.000, 0.500, 0.500]]}

---

{"formula": "K2YInS4", "functional": "PBE-GGA", "state": "optimized geometry", "formation_energy_uncorrected_ev_per_fu": -10.61, "lattice": [[-4.107, 4.157, 5.906], [4.107, -4.157, 5.906], [4.107, 4.157, -5.906]], "species": ["K", "K", "K", "K", "Y", "Y", "In", "In", "S", "S", "S", "S", "S", "S", "S", "S"], "frac_coords": [[0.000, 0.000, 0.000], [0.500, 0.000, 0.000], [0.500, 0.000, 0.500], [0.500, 0.500, 0.500], [0.000, 0.500, 0.500], [0.500, 0.500, 0.000], [0.000, 0.000, 0.500], [0.000, 0.500, 0.000], [0.202, 0.738, 0.464], [0.226, 0.262, 0.964], [0.235, 0.263, 0.527], [0.235, 0.708, 0.973], [0.765, 0.292, 0.027], [0.765, 0.737, 0.473], [0.774, 0.738, 0.036], [0.798, 0.262, 0.536]]}

---

{"formula": "Cs2GeOs2", "functional": "PBE-GGA", "state": "optimized geometry", "dft_energy_ry_per_atom": -0.358, "lattice": [[6.518, 0.000, 0.000], [0.000, 6.518, 0.000], [0.000, 0.000, 6.288]], "species": ["Cs", "Cs", "Cs", "Cs", "Ge", "Ge", "Os", "Os", "Os", "Os"], "frac_coords": [[0.182, 0.318, 0.000], [0.318, 0.818, 0.000], [0.682, 0.182, 0.000], [0.818, 0.682, 0.000], [0.000, 0.000, 0.500], [0.500, 0.500, 0.500], [0.128, 0.628, 0.500], [0.372, 0.128, 0.500], [0.628, 0.872, 0.500], [0.872, 0.372, 0.500]]}

---

{"formula": "SrTl2Pd", "functional": "PBE-GGA", "state": "optimized geometry", "dft_energy_ry_per_atom": -0.236, "lattice": [[2.375, 1.371, 5.726], [-2.375, 1.371, 5.726], [0.000, -2.742, 5.726]], "species": ["Sr", "Tl", "Tl", "Pd"], "frac_coords": [[0.000, 0.000, 0.000], [0.219, 0.219, 0.219], [0.781, 0.781, 0.781], [0.500, 0.500, 0.500]]}

---

{"formula": "La2Sm3YTm6", "functional": "PBE-GGA", "state": "optimized geometry", "dft_energy_ry_per_atom": -0.349, "lattice": [[3.102, -5.370, 0.000], [3.102, 5.370, 0.000], [-2.060, 0.000, 11.564]], "species": ["La", "La", "Sm", "Sm", "Sm", "Y", "Tm", "Tm", "Tm", "Tm", "Tm", "Tm"], "frac_coords": [[0.166, 0.834, 0.000], [0.834, 0.166, 0.000], [0.000, 0.000, 0.500], [0.333, 0.667, 0.500], [0.667, 0.333, 0.500], [0.500, 0.500, 0.000], [0.082, 0.415, 0.748], [0.252, 0.252, 0.253], [0.415, 0.082, 0.748], [0.585, 0.918, 0.252], [0.748, 0.748, 0.747], [0.918, 0.585, 0.252]]}

---

{"formula": "KZn2Ni", "functional": "PBE-GGA", "state": "optimized geometry", "e_above_lowest_polymorph_ev_per_atom": 0.194, "lattice": [[4.196, -1.416, 0.000], [4.196, 1.416, 0.000], [-0.811, 0.000, 6.972]], "species": ["K", "Zn", "Zn", "Ni"], "frac_coords": [[0.000, 0.000, 0.000], [0.224, 0.224, 0.651], [0.776, 0.776, 0.349], [0.500, 0.500, 0.500]]}

---

{"formula": "TcPtS2", "functional": "PBE-GGA", "state": "optimized geometry", "e_above_lowest_polymorph_ev_per_atom": 0.000, "formation_energy_uncorrected_ev_per_fu": -0.88, "lattice": [[1.557, 0.899, 7.735], [-1.557, 0.899, 7.735], [0.000, -1.798, 7.735]], "species": ["Tc", "Pt", "S", "S"], "frac_coords": [[0.000, 0.000, 0.000], [0.500, 0.500, 0.500], [0.402, 0.402, 0.402], [0.598, 0.598, 0.598]]}

---

{"formula": "Tb3Sm2Sc4", "functional": "PBE-GGA", "state": "optimized geometry", "e_above_lowest_polymorph_ev_per_atom": 0.000, "lattice": [[7.304, -2.423, 0.000], [7.304, 2.423, 0.000], [-2.375, 0.000, 7.317]], "species": ["Tb", "Tb", "Tb", "Sm", "Sm", "Sc", "Sc", "Sc", "Sc"], "frac_coords": [[0.000, 0.000, 0.000], [0.448, 0.448, 0.669], [0.552, 0.552, 0.331], [0.225, 0.225, 0.328], [0.775, 0.775, 0.672], [0.112, 0.112, 0.672], [0.330, 0.330, 0.001], [0.670, 0.670, 0.999], [0.888, 0.888, 0.328]]}

---

{"formula": "KZn3Cd", "functional": "PBE-GGA", "state": "optimized geometry", "e_above_lowest_polymorph_ev_per_atom": 0.509, "lattice": [[6.376, 0.000, 0.000], [0.000, 6.376, 0.000], [0.000, 0.000, 6.376]], "species": ["K", "Zn", "Zn", "Zn", "Cd"], "frac_coords": [[0.000, 0.000, 0.000], [0.000, 0.000, 0.500], [0.000, 0.500, 0.000], [0.500, 0.000, 0.000], [0.500, 0.500, 0.500]]}

---

{"formula": "FeNiGe2", "functional": "PBE-GGA", "state": "optimized geometry", "dft_energy_ry_per_atom": -0.430, "lattice": [[0.000, 2.961, 2.961], [2.961, 0.000, 2.961], [2.961, 2.961, 0.000]], "species": ["Fe", "Ni", "Ge", "Ge"], "frac_coords": [[0.000, 0.000, 0.000], [0.500, 0.500, 0.500], [0.250, 0.250, 0.250], [0.750, 0.750, 0.750]]}

---

{"formula": "Tm3Co8Sn4", "functional": "PBE-GGA", "state": "optimized geometry", "dft_energy_ry_per_atom": -0.445, "lattice": [[8.854, 0.000, 0.000], [-4.427, 7.668, 0.000], [0.000, 0.000, 7.392]], "species": ["Tm", "Tm", "Tm", "Tm", "Tm", "Tm", "Co", "Co", "Co", "Co", "Co", "Co", "Co", "Co", "Co", "Co", "Co", "Co", "Co", "Co", "Co", "Co", "Sn", "Sn", "Sn", "Sn", "Sn", "Sn", "Sn", "Sn"], "frac_coords": [[0.062, 0.531, 0.000], [0.469, 0.531, 0.000], [0.469, 0.938, 0.000], [0.531, 0.062, 0.500], [0.531, 0.469, 0.500], [0.938, 0.469, 0.500], [0.000, 0.000, 0.278], [0.000, 0.000, 0.778], [0.099, 0.198, 0.023], [0.099, 0.901, 0.023], [0.160, 0.320, 0.330], [0.160, 0.840, 0.330], [0.198, 0.099, 0.523], [0.320, 0.160, 0.830], [0.333, 0.667, 0.723], [0.667, 0.333, 0.223], [0.680, 0.840, 0.330], [0.802, 0.901, 0.023], [0.840, 0.160, 0.830], [0.840, 0.680, 0.830], [0.901, 0.099, 0.523], [0.901, 0.802, 0.523], [0.172, 0.344, 0.702], [0.172, 0.828, 0.702], [0.333, 0.667, 0.338], [0.344, 0.172, 0.202], [0.656, 0.828, 0.702], [0.667, 0.333, 0.838], [0.828, 0.172, 0.202], [0.828, 0.656, 0.202]]}

---

{"formula": "PrSm2Rh", "functional": "PBE-GGA", "state": "optimized geometry", "e_above_lowest_polymorph_ev_per_atom": 0.106, "lattice": [[3.581, 0.000, 0.000], [0.000, 3.581, 0.000], [0.000, 0.000, 8.891]], "species": ["Pr", "Sm", "Sm", "Rh"], "frac_coords": [[0.000, 0.000, 0.000], [0.500, 0.500, 0.314], [0.500, 0.500, 0.686], [0.000, 0.000, 0.500]]}

---

{"formula": "KBa2Hf", "functional": "PBE-GGA", "state": "optimized geometry", "e_above_lowest_polymorph_ev_per_atom": 0.171, "lattice": [[-4.873, 4.873, 3.878], [4.873, -4.873, 3.878], [4.873, 4.873, -3.878]], "species": ["K", "K", "Ba", "Ba", "Ba", "Ba", "Hf", "Hf"], "frac_coords": [[0.000, 0.000, 0.000], [0.750, 0.250, 0.500], [0.149, 0.625, 0.024], [0.375, 0.399, 0.524], [0.601, 0.125, 0.976], [0.875, 0.851, 0.476], [0.250, 0.750, 0.500], [0.500, 0.500, 0.000]]}

---

{"formula": "Pa4MnSi", "functional": "PBE-GGA", "state": "optimized geometry", "formation_energy_uncorrected_ev_per_fu": 1.11, "lattice": [[6.411, 0.000, 0.000], [0.000, 6.411, 0.000], [0.000, 0.000, 6.476]], "species": ["Pa", "Pa", "Pa", "Pa", "Pa", "Pa", "Pa", "Pa", "Mn", "Mn", "Si", "Si"], "frac_coords": [[0.195, 0.245, 0.346], [0.195, 0.755, 0.154], [0.245, 0.195, 0.846], [0.245, 0.805, 0.654], [0.755, 0.195, 0.654], [0.755, 0.805, 0.846], [0.805, 0.245, 0.154], [0.805, 0.755, 0.346], [0.000, 0.500, 0.750], [0.500, 0.000, 0.250], [0.500, 0.500, 0.000], [0.500, 0.500, 0.500]]}

---

{"formula": "Nd3AlNi3", "functional": "PBE-GGA", "state": "optimized geometry", "e_above_lowest_polymorph_ev_per_atom": 0.156, "lattice": [[4.201, -5.174, 0.000], [4.201, 5.174, 0.000], [-0.259, 0.000, 6.884]], "species": ["Nd", "Nd", "Nd", "Nd", "Nd", "Nd", "Al", "Al", "Ni", "Ni", "Ni", "Ni", "Ni", "Ni"], "frac_coords": [[0.163, 0.837, 0.000], [0.252, 0.748, 0.500], [0.359, 0.359, 0.152], [0.641, 0.641, 0.848], [0.748, 0.252, 0.500], [0.837, 0.163, 0.000], [0.244, 0.244, 0.646], [0.756, 0.756, 0.354], [0.069, 0.478, 0.811], [0.070, 0.070, 0.341], [0.478, 0.069, 0.811], [0.522, 0.931, 0.189], [0.930, 0.930, 0.659], [0.931, 0.522, 0.189]]}

---

{"formula": "KBa2Tl2", "functional": "PBE-GGA", "state": "optimized geometry", "e_above_lowest_polymorph_ev_per_atom": 0.232, "lattice": [[-2.316, 2.316, 12.509], [2.316, -2.316, 12.509], [2.316, 2.316, -12.509]], "species": ["K", "Ba", "Ba", "Tl", "Tl"], "frac_coords": [[0.000, 0.000, 0.000], [0.362, 0.362, 0.000], [0.638, 0.638, 0.000], [0.250, 0.750, 0.500], [0.750, 0.250, 0.500]]}

---

{"formula": "Zn2InFe", "functional": "PBE-GGA", "state": "optimized geometry", "dft_energy_ry_per_atom": -0.231, "lattice": [[0.000, 3.159, 3.159], [3.159, 0.000, 3.159], [3.159, 3.159, 0.000]], "species": ["Zn", "Zn", "In", "Fe"], "frac_coords": [[0.000, 0.000, 0.000], [0.250, 0.250, 0.250], [0.500, 0.500, 0.500], [0.750, 0.750, 0.750]]}

---

{"formula": "NdThO", "functional": "PBE-GGA", "state": "optimized geometry", "formation_energy_uncorrected_ev_per_fu": -4.87, "lattice": [[3.792, 0.000, 0.000], [-1.896, 3.284, 0.000], [0.000, 0.000, 5.831]], "species": ["Nd", "Th", "O"], "frac_coords": [[0.000, 0.000, 0.000], [0.667, 0.333, 0.539], [0.333, 0.667, 0.740]]}

---

{"formula": "K2BeSbO6", "functional": "PBE-GGA", "state": "optimized geometry", "formation_energy_uncorrected_ev_per_fu": -11.50, "lattice": [[5.941, 0.000, 0.000], [-2.971, 5.145, 0.000], [0.000, 0.000, 5.209]], "species": ["K", "K", "Be", "Sb", "O", "O", "O", "O", "O", "O"], "frac_coords": [[0.333, 0.667, 0.152], [0.667, 0.333, 0.848], [0.000, 0.000, 0.000], [0.000, 0.000, 0.500], [0.139, 0.278, 0.767], [0.139, 0.861, 0.767], [0.278, 0.139, 0.233], [0.722, 0.861, 0.767], [0.861, 0.139, 0.233], [0.861, 0.722, 0.233]]}

---

{"formula": "BeAg3Mo", "functional": "PBE-GGA", "state": "optimized geometry", "e_above_lowest_polymorph_ev_per_atom": 1.103, "lattice": [[5.193, 0.000, 0.000], [0.000, 5.193, 0.000], [0.000, 0.000, 5.193]], "species": ["Be", "Ag", "Ag", "Ag", "Mo"], "frac_coords": [[0.000, 0.000, 0.000], [0.000, 0.500, 0.500], [0.500, 0.000, 0.500], [0.500, 0.500, 0.000], [0.500, 0.500, 0.500]]}

---

{"formula": "RbSrTc2Ge", "functional": "PBE-GGA", "state": "optimized geometry", "dft_energy_ry_per_atom": -0.335, "lattice": [[4.789, 0.000, 0.000], [0.000, 4.789, 0.000], [0.000, 0.000, 5.828]], "species": ["Rb", "Sr", "Tc", "Tc", "Ge"], "frac_coords": [[0.000, 0.000, 0.000], [0.500, 0.500, 0.000], [0.000, 0.500, 0.500], [0.500, 0.000, 0.500], [0.000, 0.000, 0.500]]}

---

{"formula": "Ba2Cd2In", "functional": "PBE-GGA", "state": "optimized geometry", "e_above_lowest_polymorph_ev_per_atom": 0.000, "lattice": [[6.254, -2.596, 0.000], [6.254, 2.596, 0.000], [-5.878, 0.000, 11.252]], "species": ["Ba", "Ba", "Ba", "Ba", "Cd", "Cd", "Cd", "Cd", "In", "In"], "frac_coords": [[0.022, 0.022, 0.342], [0.201, 0.201, 0.116], [0.799, 0.799, 0.884], [0.978, 0.978, 0.658], [0.360, 0.360, 0.442], [0.493, 0.493, 0.114], [0.507, 0.507, 0.886], [0.640, 0.640, 0.558], [0.273, 0.273, 0.650], [0.727, 0.727, 0.350]]}

---

{"formula": "PaAlPb", "functional": "PBE-GGA", "state": "optimized geometry", "e_above_lowest_polymorph_ev_per_atom": 0.000, "lattice": [[1.607, -9.968, 0.000], [1.607, 9.968, 0.000], [0.000, 0.000, 4.653]], "species": ["Pa", "Pa", "Al", "Al", "Pb", "Pb"], "frac_coords": [[0.101, 0.899, 0.750], [0.899, 0.101, 0.250], [0.466, 0.534, 0.750], [0.534, 0.466, 0.250], [0.308, 0.692, 0.750], [0.692, 0.308, 0.250]]}